Entry 1:
Density functional theory data (PBE) for a relaxed HoEr2TmTe5 crystal.

Cell: 5.4989 5.4989 11.4459 Å, 90.00 90.00 90.00°
Last column: nearest neighbours and their distance in Å.
Element x y z (fractional)
Te: 0.0000 0.0000 0.2468  1 Ho 2.82, 1 Tm 2.90
Te: 0.0000 0.0000 0.7532  1 Ho 2.82, 1 Tm 2.90
Ho: 0.0000 0.0000 0.0000  2 Te 2.82
Er: 0.5000 0.5000 0.3493  4 Te 3.25, 1 Er 3.45
Te: 0.0000 0.5000 0.5000  2 Tm 2.75
Te: 0.5000 0.5000 0.0000  4 Ho 3.89, 2 Er 4.00
Tm: 0.0000 0.0000 0.5000  6 Te 2.75-2.90
Er: 0.5000 0.5000 0.6507  4 Te 3.25, 1 Er 3.45
Te: 0.5000 0.0000 0.5000  2 Tm 2.75

Computed properties:
Symmetry: P4/mmm, No. 123
N(E_F), states/eV per atom: 0.40
Uncorrected formation energy, meV per atom: -616

---

Entry 2:
Density functional theory data (PBE) for a relaxed HoEr2TmTe6 crystal.

Cell: 7.6281 7.6281 8.2465 Å, 62.45 62.45 60.00°
Last column: nearest neighbours and their distance in Å.
Element x y z (fractional)
Er: 0.5087 0.5087 0.4740  6 Te 3.04-3.08
Te: 0.6000 0.2317 0.2509  1 Tm 3.03, 2 Er 3.05-3.08, 1 Ho 3.09
Te: 0.4151 0.7303 0.7523  2 Er 3.04-3.08, 1 Ho 3.05, 1 Tm 3.07
Te: 0.1024 0.4150 0.7522  2 Er 3.04-3.08, 1 Ho 3.05, 1 Tm 3.07
Ho: 0.8237 0.8236 0.5291  6 Te 3.05-3.09
Er: 0.0083 0.0083 0.9750  6 Te 3.04-3.08
Te: 0.2317 0.9175 0.2509  1 Tm 3.03, 2 Er 3.05-3.08, 1 Ho 3.09
Te: 0.9174 0.5999 0.2508  1 Tm 3.03, 2 Er 3.04-3.08, 1 Ho 3.09
Tm: 0.3241 0.3241 0.0278  6 Te 3.03-3.07
Te: 0.7303 0.1024 0.7522  2 Er 3.04-3.08, 1 Ho 3.05, 1 Tm 3.07

Computed properties:
Symmetry: R3, No. 146
Uncorrected formation energy, meV per atom: -1343

---

Entry 3:
Density functional theory data (PBE) for a relaxed YHo3Er2Te6 crystal.

Cell: 4.3178 8.7114 9.6968 Å, 103.09 102.86 90.00°
Last column: nearest neighbours and their distance in Å.
Element x y z (fractional)
Ho: 0.1647 0.8325 0.3293  6 Te 3.04-3.08
Er: 0.1654 0.3310 0.3308  6 Te 3.03-3.07
Te: 0.3318 0.9155 0.6636  2 Er 3.05, 3 Ho 3.07, 1 Y 3.09
Er: 0.8346 0.6690 0.6692  6 Te 3.03-3.07
Ho: 0.8353 0.1675 0.6707  6 Te 3.04-3.08
Te: 0.9992 0.7478 0.9985  1 Er 3.03, 3 Ho 3.04-3.06, 2 Y 3.08
Te: 0.0008 0.2522 0.0015  1 Er 3.03, 3 Ho 3.04-3.06, 2 Y 3.08
Te: 0.6682 0.0845 0.3364  2 Er 3.05, 3 Ho 3.07, 1 Y 3.09
Te: 0.6676 0.5820 0.3352  3 Er 3.07, 3 Ho 3.08
Te: 0.3324 0.4180 0.6648  3 Er 3.07, 3 Ho 3.08
Ho: 0.5000 0.5000 0.0000  6 Te 3.06-3.08
Y: 0.5000 0.0000 0.0000  6 Te 3.08-3.09

Computed properties:
Symmetry: C2/m, No. 12
N(E_F), states/eV per atom: 0.54
Uncorrected formation energy, meV per atom: -1244

---

Entry 4:
Density functional theory data (PBE) for a relaxed YHo2Er3Te6 crystal.

Cell: 4.3145 8.7055 9.6950 Å, 103.27 102.86 90.00°
Last column: nearest neighbours and their distance in Å.
Element x y z (fractional)
Te: 0.0000 0.7472 0.0001  3 Er 3.04-3.05, 1 Ho 3.05, 2 Y 3.08
Te: 0.3334 0.4166 0.6668  3 Er 3.06, 3 Ho 3.07
Y: 0.5000 0.0000 0.0000  6 Te 3.08-3.09
Te: 0.3318 0.9179 0.6636  3 Er 3.06, 2 Ho 3.07, 1 Y 3.09
Er: 0.5000 0.5000 0.0000  6 Te 3.05-3.06
Te: 0.0000 0.2528 0.9999  3 Er 3.04-3.05, 1 Ho 3.05, 2 Y 3.08
Ho: 0.1661 0.3316 0.3321  6 Te 3.05-3.07
Ho: 0.8339 0.6684 0.6679  6 Te 3.05-3.07
Te: 0.6682 0.0821 0.3364  3 Er 3.06, 2 Ho 3.07, 1 Y 3.09
Er: 0.1654 0.8322 0.3309  6 Te 3.04-3.06
Te: 0.6666 0.5834 0.3332  3 Er 3.06, 3 Ho 3.07
Er: 0.8346 0.1678 0.6691  6 Te 3.04-3.06

Computed properties:
Symmetry: C2/m, No. 12
N(E_F), states/eV per atom: 0.53
Uncorrected formation energy, meV per atom: -1238

---

Entry 5:
Density functional theory data (PBE) for a relaxed Y2HoErTe6 crystal.

Cell: 7.6726 7.6726 8.2907 Å, 62.44 62.44 60.00°
Last column: nearest neighbours and their distance in Å.
Element x y z (fractional)
Er: 0.3241 0.3241 0.0277  6 Te 3.05-3.08
Te: 0.1004 0.4189 0.7527  1 Ho 3.05, 2 Y 3.07-3.11, 1 Er 3.08
Te: 0.5990 0.2285 0.2522  1 Er 3.05, 2 Y 3.07-3.11, 1 Ho 3.10
Te: 0.2285 0.9203 0.2523  1 Er 3.05, 2 Y 3.07-3.11, 1 Ho 3.10
Y: 0.0092 0.0092 0.9724  6 Te 3.07-3.11
Ho: 0.8239 0.8238 0.5285  6 Te 3.05-3.10
Te: 0.9202 0.5990 0.2522  1 Er 3.05, 2 Y 3.07-3.11, 1 Ho 3.10
Te: 0.4189 0.7280 0.7528  1 Ho 3.05, 2 Y 3.07-3.11, 1 Er 3.08
Y: 0.5094 0.5094 0.4717  6 Te 3.07-3.11
Te: 0.7280 0.1004 0.7527  1 Ho 3.05, 2 Y 3.07-3.11, 1 Er 3.08

Computed properties:
Symmetry: R3, No. 146
Uncorrected formation energy, meV per atom: -1367

---

Entry 6:
Density functional theory data (PBE) for a relaxed Y3HoEr3Te8 crystal.

Cell: 8.6537 8.6541 8.6520 Å, 120.01 90.00 120.00°
Last column: nearest neighbours and their distance in Å.
Element x y z (fractional)
Te: 0.7488 0.4975 0.7463  3 Er 3.04, 3 Y 3.07
Te: 0.2552 0.5104 0.7527  2 Er 3.04, 2 Y 3.08, 1 Ho 3.12
Te: 0.7448 0.4896 0.2473  2 Er 3.04, 2 Y 3.08, 1 Ho 3.12
Te: 0.7423 0.9975 0.7526  2 Er 3.04, 2 Y 3.08, 1 Ho 3.12
Y: 0.0000 0.5000 0.0000  6 Te 3.07-3.08
Y: 0.5000 0.5000 0.0000  6 Te 3.07-3.08
Te: 0.2552 0.9975 0.7526  2 Er 3.04, 2 Y 3.08, 1 Ho 3.12
Er: 0.5000 0.0000 0.5000  6 Te 3.04
Y: 0.0000 0.0000 0.0000  6 Te 3.07-3.08
Te: 0.7448 0.0025 0.2474  2 Er 3.04, 2 Y 3.08, 1 Ho 3.12
Te: 0.2577 0.0025 0.2474  2 Er 3.04, 2 Y 3.08, 1 Ho 3.12
Er: 0.5000 0.5000 0.5000  6 Te 3.04
Er: 0.0000 0.5000 0.5000  6 Te 3.04
Ho: 0.0000 0.0000 0.5000  6 Te 3.12
Te: 0.2512 0.5025 0.2537  3 Er 3.04, 3 Y 3.07

Computed properties:
Symmetry: R-3m, No. 166
N(E_F), states/eV per atom: 0.45
Uncorrected formation energy, meV per atom: -1348